Record 1
## Ho8Al3Ge9 (PBE-GGA)

Data for an optimized crystal structure of Ho8Al3Ge9.

Structure (extended XYZ):
```
20
Lattice="5.2781 -2.0384 0.0000 5.2781 2.0384 0.0000 -3.6364 0.0000 19.7967" Properties=species:S:1:pos:R:3 pbc="T T T"
Ho -0.4388 0.0000 3.5592
Ho 0.2247 0.0000 11.3176
Ho -0.1757 0.0000 18.3899
Ho 3.6496 0.0000 6.3978
Ho 3.2701 0.0000 13.3989
Ho 7.0954 0.0000 1.4068
Ho 6.6950 0.0000 8.4790
Ho 7.3585 0.0000 16.2375
Al 0.0253 0.0000 14.7877
Al 3.4598 0.0000 9.8983
Al 6.8944 0.0000 5.0090
Ge 0.0000 0.0000 0.0000
Ge -0.8423 0.0000 8.5041
Ge 0.6151 0.0000 6.3852
Ge 2.5538 0.0000 3.5937
Ge 4.0713 0.0000 1.5072
Ge 2.8484 0.0000 18.2895
Ge 4.3658 0.0000 16.2029
Ge 6.3046 0.0000 13.4115
Ge 7.7620 0.0000 11.2926
```

Results
- total DFT energy (no corrections) (eV per atom) = -5.209
- formation enthalpy at 0 K (meV/atom) = -738
- magnetic moment (μB/f.u.) = 0.000
- V (Å³ per atom) = 21.299
- SG = No. 12

Record 2
## Cd5In2Hg4 (PBE-GGA)

Data for an optimized crystal structure of Cd5In2Hg4.

Structure (extended XYZ):
```
11
Lattice="10.1661 -1.6137 0.0000 10.1661 1.6137 0.0000 -1.9767 0.0000 8.7209" Properties=species:S:1:pos:R:3 pbc="T T T"
Cd 0.0000 0.0000 0.0000
Cd 4.0952 0.0000 2.9566
Cd 5.7586 0.0000 7.7939
Cd 12.5969 0.0000 0.9270
Cd 14.2603 0.0000 5.7642
In 6.7596 0.0000 4.6233
In 11.5958 0.0000 4.0976
Hg 2.0160 0.0000 7.4578
Hg 8.9702 0.0000 2.4988
Hg 9.3853 0.0000 6.2221
Hg 16.3394 0.0000 1.2631
```

Results
- total DFT energy (no corrections) (eV per atom) = -0.996
- formation enthalpy at 0 K (meV/atom) = 27
- magnetic moment (μB/f.u.) = 0.000
- V (Å³ per atom) = 26.011
- SG = No. 12

Record 3
## Ho2Ge3Pd5 (PBE-GGA)

Data for an optimized crystal structure of Ho2Ge3Pd5.

Structure (extended XYZ):
```
20
Lattice="-5.5689 5.7145 2.8851 5.5689 -5.7145 2.8851 5.5689 5.7145 -2.8851" Properties=species:S:1:pos:R:3 pbc="T T T"
Ho 1.5119 2.5175 0.0000
Ho 7.0809 3.1970 0.0000
Ho -1.5119 2.5175 2.8851
Ho 4.0570 3.1970 2.8851
Ge 9.6119 1.4180 0.0000
Ge 5.5689 0.0000 1.4426
Ge 4.0430 4.2965 0.0000
Ge 1.5259 1.4180 2.8851
Ge 0.0000 5.7145 1.4426
Ge -4.0430 4.2965 2.8851
Pd 4.5140 1.8934 0.0000
Pd 0.0000 0.0000 1.4426
Pd 2.9847 0.0000 1.4426
Pd 8.1531 0.0000 1.4426
Pd 4.5140 -1.8934 2.8851
Pd 1.0549 7.6079 0.0000
Pd -2.5842 5.7145 1.4426
Pd 2.5842 5.7145 1.4426
Pd 0.0000 0.0000 4.3277
Pd 1.0549 3.8212 2.8851
```

Results
- total DFT energy (no corrections) (eV per atom) = -5.663
- formation enthalpy at 0 K (meV/atom) = -766
- magnetic moment (μB/f.u.) = 0.000
- V (Å³ per atom) = 18.363
- SG = No. 72

Record 4
## Sr2LaP2 (PBE-GGA)

Data for an optimized crystal structure of Sr2LaP2.

Structure (extended XYZ):
```
10
Lattice="8.2190 0.0000 0.0000 0.0000 8.2190 0.0000 0.0000 0.0000 4.2339" Properties=species:S:1:pos:R:3 pbc="T T T"
Sr 1.1541 2.9554 0.0000
Sr 2.9554 7.0649 0.0000
Sr 5.2636 1.1541 0.0000
Sr 7.0649 5.2636 0.0000
La 0.0000 0.0000 2.1169
La 4.1095 4.1095 2.1169
P 1.3876 5.4971 2.1169
P 2.7219 1.3876 2.1169
P 5.4971 6.8315 2.1169
P 6.8315 2.7219 2.1169
```

Results
- total DFT energy (no corrections) (eV per atom) = -4.830
- formation enthalpy at 0 K (meV/atom) = -1008
- magnetic moment (μB/f.u.) = 0.000
- V (Å³ per atom) = 28.601
- SG = No. 127